1.
# YBeNF2 PBE relaxed
# uncorrected formation energy = -2.252 eV/atom
# energy relative to the lowest polymorph listed for this composition = 0.000 eV/atom
# DFT total energy = -6.704 eV per atom
data_YBeNF2
_cell_length_a 3.464
_cell_length_b 3.464
_cell_length_c 4.185
_cell_angle_alpha 90.00
_cell_angle_beta 90.00
_cell_angle_gamma 90.00
_symmetry_space_group_name_H-M 'P 4/m m m'
_symmetry_Int_Tables_number 123
_symmetry_space_group_name_Hall '-P 4 2'
loop_
_atom_site_label
_atom_site_fract_x
_atom_site_fract_y
_atom_site_fract_z
_atom_site_occupancy
Y1 0.000 0.000 0.000 1
Be1 0.500 0.500 0.500 1
N1 0.500 0.500 0.000 1
F1 0.000 0.500 0.500 1

2.
# YBeN2F PBE relaxed
# uncorrected formation energy = 0.328 eV/atom
# energy relative to the lowest polymorph listed for this composition = 1.487 eV/atom
# DFT total energy = -5.415 eV per atom
# DOS(E_F) = 2.28 states/eV/cell
data_YBeN2F
_cell_length_a 4.510
_cell_length_b 4.510
_cell_length_c 4.220
_cell_angle_alpha 90.00
_cell_angle_beta 90.00
_cell_angle_gamma 90.00
_symmetry_space_group_name_H-M 'P 4/m m m'
_symmetry_Int_Tables_number 123
_symmetry_space_group_name_Hall '-P 4 2'
loop_
_atom_site_label
_atom_site_fract_x
_atom_site_fract_y
_atom_site_fract_z
_atom_site_occupancy
Y1 0.000 0.000 0.000 1
Be1 0.500 0.500 0.500 1
N1 0.000 0.500 0.000 1
F1 0.000 0.000 0.500 1

3.
# YBeN2F PBE relaxed
# uncorrected formation energy = -1.159 eV/atom
# energy relative to the lowest polymorph listed for this composition = 0.000 eV/atom
# DFT total energy = -6.902 eV per atom
# DOS(E_F) = 1.19 states/eV/cell
data_YBeN2F
_cell_length_a 3.528
_cell_length_b 3.528
_cell_length_c 3.896
_cell_angle_alpha 90.00
_cell_angle_beta 90.00
_cell_angle_gamma 90.00
_symmetry_space_group_name_H-M 'P 4/m m m'
_symmetry_Int_Tables_number 123
_symmetry_space_group_name_Hall '-P 4 2'
loop_
_atom_site_label
_atom_site_fract_x
_atom_site_fract_y
_atom_site_fract_z
_atom_site_occupancy
Y1 0.000 0.000 0.000 1
Be1 0.500 0.500 0.500 1
N1 0.000 0.500 0.500 1
F1 0.500 0.500 0.000 1

4.
# YBeNF2 PBE relaxed
# uncorrected formation energy = -1.176 eV/atom
# energy relative to the lowest polymorph listed for this composition = 1.076 eV/atom
# DFT total energy = -5.628 eV per atom
# DOS(E_F) = 1.20 states/eV/cell
data_YBeNF2
_cell_length_a 4.254
_cell_length_b 4.254
_cell_length_c 4.721
_cell_angle_alpha 90.00
_cell_angle_beta 90.00
_cell_angle_gamma 90.00
_symmetry_space_group_name_H-M 'P 4/m m m'
_symmetry_Int_Tables_number 123
_symmetry_space_group_name_Hall '-P 4 2'
loop_
_atom_site_label
_atom_site_fract_x
_atom_site_fract_y
_atom_site_fract_z
_atom_site_occupancy
Y1 0.000 0.000 0.000 1
Be1 0.500 0.500 0.500 1
N1 0.000 0.000 0.500 1
F1 0.000 0.500 0.000 1

5.
# YbBeNF6 PBE relaxed
# uncorrected formation energy = -2.356 eV/atom
# DFT total energy = -5.112 eV per atom
# DOS(E_F) = 45.02 states/eV/cell
data_YbBeNF6
_cell_length_a 5.730
_cell_length_b 6.956
_cell_length_c 7.000
_cell_angle_alpha 90.00
_cell_angle_beta 94.32
_cell_angle_gamma 90.00
_symmetry_space_group_name_H-M 'P 1 21/m 1'
_symmetry_Int_Tables_number 11
_symmetry_space_group_name_Hall '-P 2yb'
loop_
_atom_site_label
_atom_site_fract_x
_atom_site_fract_y
_atom_site_fract_z
_atom_site_occupancy
Yb1 0.168 0.250 0.258 1
Be1 0.055 0.250 0.750 1
N1 0.270 0.750 0.798 1
F1 0.099 0.563 0.260 1
F2 0.206 0.250 0.946 1
F3 0.208 0.250 0.574 1
F4 0.410 0.593 0.749 1

6.
# BeZnN2F PBE relaxed
# uncorrected formation energy = 0.271 eV/atom
# energy relative to the lowest polymorph listed for this composition = 0.000 eV/atom
# DFT total energy = -4.434 eV per atom
# DOS(E_F) = 1.86 states/eV/cell
data_BeZnN2F
_cell_length_a 3.326
_cell_length_b 3.326
_cell_length_c 4.198
_cell_angle_alpha 90.00
_cell_angle_beta 90.00
_cell_angle_gamma 90.00
_symmetry_space_group_name_H-M 'P 4/m m m'
_symmetry_Int_Tables_number 123
_symmetry_space_group_name_Hall '-P 4 2'
loop_
_atom_site_label
_atom_site_fract_x
_atom_site_fract_y
_atom_site_fract_z
_atom_site_occupancy
Be1 0.000 0.000 0.000 1
Zn1 0.500 0.500 0.500 1
N1 0.000 0.500 0.000 1
F1 0.000 0.000 0.500 1